Here is Tl3PdN at its PBEsol-relaxed geometry from Alexandria via LeMat-Bulk. Energies are from SCAN.

It has space group Pm-3m (No. 221), with a = 4.750 Å, b = 4.750 Å, c = 4.750 Å, α = 90.00°, β = 90.00° and γ = 90.00°. The distinct sites, in fractional coordinates, are Tl at (0.000, 0.000, 0.500), Pd at (0.500, 0.500, 0.500) and N at (0.000, 0.000, 0.000).

The calculation puts the size of the total moment at 0.0 μB/f.u. Its total energy is -1.875 Ha/atom.

=====

Here is PdWN2 at its PBEsol-relaxed geometry from Alexandria via LeMat-Bulk. Energies are from SCAN.

It has space group Fm-3m (No. 225), with a = 5.397 Å, b = 5.397 Å, c = 5.397 Å, α = 90.00°, β = 90.00° and γ = 90.00°. The distinct sites, in fractional coordinates, are Pd at (0.000, 0.000, 0.000), W at (0.000, 0.000, 0.500) and N at (0.250, 0.250, 0.250).

The calculation puts the size of the total moment at 0.0 μB/f.u. Its total energy is -1.076 Ha/atom.

=====

What is the formula in the first record?
Tl3PdN

=====

Look up the size of the total moment of the first one.
0.0 μB/f.u.